Below is a relaxed NdFe3C4O12 crystal, with properties calculated at the GGA+U level.

```
NdFe3C4O12
1.0
4.878 2.816 2.720
-4.878 2.816 2.720
0.000 -5.633 2.720
Nd Fe C O
1 3 4 12
Direct
0.000 0.000 0.000 Nd
0.000 0.540 0.460 Fe
0.460 0.000 0.540 Fe
0.540 0.460 0.000 Fe
0.042 0.500 0.958 C
0.500 0.500 0.500 C
0.500 0.958 0.042 C
0.958 0.042 0.500 C
0.033 0.628 0.818 O
0.091 0.909 0.500 O
0.182 0.372 0.967 O
0.367 0.633 0.500 O
0.372 0.967 0.182 O
0.500 0.091 0.909 O
0.500 0.367 0.633 O
0.628 0.818 0.033 O
0.633 0.500 0.367 O
0.818 0.033 0.628 O
0.909 0.500 0.091 O
0.967 0.182 0.372 O
```

Values from the calculation:
Total moment   11.0 μB/cell
DOS at the Fermi energy   4.34 states/eV/f.u.
Total DFT energy (no corrections)   -7.477 eV per atom